Compound: Zr2BeSb
Source: the Alexandria database
Functional: PBE
Structure: optimized geometry

V	313	Å³ per cell
calculated total energy	-0.218	Ha/atom
raw formation energy	0.3091	eV per atom
density	6.653	g cm⁻³
energy above the most stable polymorph in this dataset	3.30	eV/f.u.
density of states at the Fermi level	4.73	states/eV/f.u.

a b c (Å): 6.787 6.787 6.787
angles (deg): 90.00 90.00 90.00
Space group F-43m (No. 216)
One atom of each set of equivalent atoms:
Zr1 0.000 0.000 0.000 x4
Zr2 0.250 0.250 0.250 x4
Be1 0.000 0.000 0.500 x4
Sb1 0.250 0.250 0.750 x4